A relaxed Li2CoAsO4 crystal. Source: the Alexandria database, functional GGA+U.

Results
VASP energy (eV/atom): -5.615
Total magnetization (μB per formula unit): 2.10

```
8
Lattice="4.635 0.260 0.000 -0.125 4.641 0.000 -2.255 -2.451 4.280" Properties=species:S:1:pos:R:3 pbc="T T T"
Li -0.063 2.320 2.121
O 3.290 1.498 1.047
Co 2.255 2.451 4.165
O 0.978 1.063 3.303
O -0.978 -1.063 3.303
O 1.220 3.403 1.047
Li 2.318 0.130 2.121
As 2.255 2.451 0.016
```